Record 1
Density functional theory data (PBE) for a geometry-optimized LaGdErSn structure.

Geometry as POSCAR:
```
LaGdErSn
1.0
7.817 0.000 0.000
0.000 7.817 0.000
0.000 0.000 7.817
La Gd Er Sn
4 4 4 4
direct
0.000 0.000 0.000
0.000 0.500 0.500
0.500 0.000 0.500
0.500 0.500 0.000
0.000 0.000 0.500
0.000 0.500 0.000
0.500 0.000 0.000
0.500 0.500 0.500
0.250 0.250 0.250
0.250 0.750 0.750
0.750 0.250 0.750
0.750 0.750 0.250
0.250 0.250 0.750
0.250 0.750 0.250
0.750 0.250 0.250
0.750 0.750 0.750
```

Computed properties:
The formation enthalpy at 0 K is -1.09 eV/f.u.


Record 2
Density functional theory data (PBE) for a geometry-optimized Na3Sb2Pt structure.

Geometry as POSCAR:
```
Na3Sb2Pt
1.0
17.356 0.000 0.000
0.000 3.610 0.000
-1.537 0.000 4.933
Na Sb Pt
6 4 2
direct
0.000 0.000 0.000
0.183 0.500 0.181
0.317 0.000 0.819
0.500 0.500 0.000
0.683 0.000 0.181
0.817 0.500 0.819
0.121 0.000 0.620
0.379 0.500 0.380
0.621 0.500 0.620
0.879 0.000 0.380
0.000 0.500 0.500
0.500 0.000 0.500
```

Computed properties:
Its polymorph energy (0 for the lowest one) is 0 meV per atom. For the uncorrected formation energy, the calculation gives -0.4597 eV per atom.


Record 3
Density functional theory data (PBE) for a geometry-optimized K2LiSiRu structure.

Geometry as POSCAR:
```
K2LiSiRu
1.0
6.222 0.000 0.000
0.000 6.222 0.000
0.000 0.000 4.558
K Li Si Ru
2 1 1 1
direct
0.000 0.500 0.000
0.500 0.000 0.000
0.000 0.000 0.500
0.500 0.500 0.500
0.500 0.500 0.000
```

Computed properties:
For the uncorrected formation energy, the calculation gives 0.5844 eV per atom.